[1]
The following is a PBE-GGA calculation of a relaxed structure of Li4EuAl, from Alexandria.

Output
VASP energy ... -0.26900 Ry/atom
Space-group type ... F-43m (216)
DFT formation energy ... -48 meV/atom
Density ... 2.797 g/cm³

Unit cell a=5.578 b=5.578 c=5.578 alpha=60.00 beta=60.00 gamma=60.00
Site moments in Bohr magnetons follow the coordinates.
Sites, in units of the cell vectors:
Li 0.628 0.116 0.628  -0.01
Li 0.628 0.628 0.628  -0.01
Li 0.116 0.628 0.628  -0.01
Li 0.628 0.628 0.116  -0.01
Eu 0.250 0.250 0.250  -6.87
Al 0.000 0.000 0.000  0.01

***

[2]
The following is a PBE-GGA calculation of a relaxed structure of Ba2LaRu, from Alexandria.

Output
VASP energy ... -0.28827 Ry/atom
Space-group type ... R-3m (166)
DFT formation energy ... 590 meV/atom
Energy above the most stable polymorph in this dataset ... 2.12 eV per formula unit
Density ... 5.703 g/cm³

Unit cell a=11.633 b=11.633 c=11.633 alpha=19.27 beta=19.27 gamma=19.27
Sites, in units of the cell vectors:
Ba 0.022 0.022 0.022
Ba 0.478 0.478 0.478
Ru 0.750 0.750 0.750
La 0.250 0.250 0.250

***

[3]
The following is a PBE-GGA calculation of a relaxed structure of DyAl4Au4, from Alexandria.

Output
VASP energy ... -0.30384 Ry/atom
Space-group type ... P4_2/nmc (137)
DFT formation energy ... -503 meV/atom
Density ... 10.258 g/cm³

Unit cell a=6.227 b=6.227 c=8.835 alpha=90.00 beta=90.00 gamma=90.00
Sites, in units of the cell vectors:
Al 0.721 0.000 0.593
Al 0.500 0.221 0.093
Al 0.221 0.500 0.907
Al 0.000 0.721 0.407
Al 0.279 0.000 0.593
Al 0.779 0.500 0.907
Al 0.500 0.779 0.093
Al 0.000 0.279 0.407
Au 0.270 0.000 0.299
Au 0.770 0.500 0.201
Au 0.230 0.500 0.201
Au 0.500 0.770 0.799
Au 0.500 0.230 0.799
Au 0.000 0.730 0.701
Au 0.000 0.270 0.701
Au 0.730 0.000 0.299
Dy 0.000 0.000 0.000
Dy 0.500 0.500 0.500